Compound: VGeF2
Source: Alexandria via LeMat-Bulk
Functional: PBE+U
Structure: relaxed

Cell and atoms, written as extended XYZ:
```
4
Lattice="0.677 -4.144 0.126 1.261 -1.814 3.572 -2.625 -2.493 2.131" Properties=species:S:1:pos:R:3 pbc="T T T"
Ge -0.344 -4.225 2.915
F -0.515 -6.338 4.372
F -0.172 -2.113 1.457
V 0.000 0.000 0.000
```

* space-group type: Fm-3m, No. 225
* total DFT energy (no corrections): -4.397 eV per atom